Entry 1:
{"formula": "YCo2Re", "functional": "PBE", "state": "optimized geometry", "ef_ev_per_atom": 0.255, "de_polymorph_ev_per_atom": 0.287, "rho_g_cm3": 10.42, "dft_energy_ev_per_atom": -8.026, "cell": [[0.000, 3.152, 3.152], [3.152, 0.000, 3.152], [3.152, 3.152, 0.000]], "species": ["Y", "Co", "Co", "Re"], "fractional_positions": [[0.000, 0.000, 0.000], [0.250, 0.250, 0.250], [0.750, 0.750, 0.750], [0.500, 0.500, 0.500]]}

---

Entry 2:
{"formula": "BePt", "functional": "PBE", "state": "optimized geometry", "ef_ev_per_atom": -0.363, "rho_g_cm3": 13.23, "dft_energy_ev_per_atom": -5.247, "cell": [[0.000, 5.525, 6.799], [1.364, 0.000, 6.799], [1.364, 5.525, 0.000]], "species": ["Be", "Be", "Be", "Be", "Pt", "Pt", "Pt", "Pt"], "fractional_positions": [[0.038, 0.712, 0.038], [0.288, 0.962, 0.288], [0.712, 0.038, 0.712], [0.962, 0.288, 0.962], [0.018, 0.018, 0.232], [0.232, 0.232, 0.018], [0.768, 0.768, 0.982], [0.982, 0.982, 0.768]]}

---

Entry 3:
{"formula": "YbMgNiH4", "functional": "PBE", "state": "optimized geometry", "rho_g_cm3": 5.84, "dft_energy_ev_per_atom": -3.610, "cell": [[6.662, 0.000, 0.000], [0.000, 6.662, 0.000], [0.000, 0.000, 6.662]], "species": ["Yb", "Yb", "Yb", "Yb", "Mg", "Mg", "Mg", "Mg", "Ni", "Ni", "Ni", "Ni", "H", "H", "H", "H", "H", "H", "H", "H", "H", "H", "H", "H", "H", "H", "H", "H"], "fractional_positions": [[0.149, 0.351, 0.649], [0.351, 0.649, 0.149], [0.649, 0.149, 0.351], [0.851, 0.851, 0.851], [0.159, 0.159, 0.159], [0.341, 0.841, 0.659], [0.659, 0.341, 0.841], [0.841, 0.659, 0.341], [0.045, 0.955, 0.455], [0.455, 0.045, 0.955], [0.545, 0.545, 0.545], [0.955, 0.455, 0.045], [0.059, 0.739, 0.561], [0.061, 0.441, 0.261], [0.093, 0.593, 0.907], [0.239, 0.939, 0.941], [0.261, 0.061, 0.441], [0.407, 0.407, 0.407], [0.439, 0.559, 0.761], [0.441, 0.261, 0.061], [0.559, 0.761, 0.439], [0.561, 0.059, 0.739], [0.593, 0.907, 0.093], [0.739, 0.561, 0.059], [0.761, 0.439, 0.559], [0.907, 0.093, 0.593], [0.939, 0.941, 0.239], [0.941, 0.239, 0.939]]}

---

Entry 4:
{"formula": "LiSnBPt2", "functional": "PBE", "state": "optimized geometry", "ef_ev_per_atom": 0.937, "rho_g_cm3": 7.86, "dft_energy_ev_per_atom": -3.998, "cell": [[5.095, 0.000, 0.000], [0.000, 5.095, 0.000], [0.000, 0.000, 4.287]], "species": ["Li", "Sn", "B", "Pt", "Pt"], "fractional_positions": [[0.000, 0.000, 0.000], [0.500, 0.500, 0.500], [0.500, 0.500, 0.000], [0.000, 0.500, 0.500], [0.500, 0.000, 0.500]]}

---

Entry 5:
{"formula": "TbCeC", "functional": "PBE", "state": "optimized geometry", "ef_ev_per_atom": 0.154, "de_polymorph_ev_per_atom": 0.345, "rho_g_cm3": 8.83, "dft_energy_ev_per_atom": -6.442, "cell": [[0.000, 3.081, 3.081], [3.081, 0.000, 3.081], [3.081, 3.081, 0.000]], "species": ["Tb", "Ce", "C"], "fractional_positions": [[0.000, 0.000, 0.000], [0.500, 0.500, 0.500], [0.250, 0.250, 0.250]]}

---

Entry 6:
{"formula": "AgIrCl2", "functional": "PBE", "state": "optimized geometry", "de_polymorph_ev_per_atom": 0.623, "e_form_raw_ev_per_fu": 2.63, "rho_g_cm3": 8.89, "dft_energy_ev_per_atom": -3.193, "cell": [[4.707, 0.000, 0.000], [0.000, 4.707, 0.000], [0.000, 0.000, 3.126]], "species": ["Ag", "Ir", "Cl", "Cl"], "fractional_positions": [[0.000, 0.000, 0.000], [0.500, 0.500, 0.000], [0.000, 0.500, 0.500], [0.500, 0.000, 0.500]]}

---

Entry 7:
{"formula": "Sr3PbCl8", "functional": "PBE", "state": "optimized geometry", "e_form_raw_ev_per_fu": -25.44, "rho_g_cm3": 2.76, "dft_energy_ev_per_atom": -4.081, "cell": [[3.899, -6.784, 0.000], [3.899, 6.784, 0.000], [0.000, 0.000, 8.577]], "species": ["Sr", "Sr", "Sr", "Pb", "Cl", "Cl", "Cl", "Cl", "Cl", "Cl", "Cl", "Cl"], "fractional_positions": [[0.000, 0.000, 0.000], [0.000, 0.500, 0.750], [0.500, 0.000, 0.250], [0.000, 0.000, 0.500], [0.212, 0.280, 0.751], [0.215, 0.785, 0.000], [0.216, 0.784, 0.500], [0.280, 0.212, 0.249], [0.720, 0.788, 0.249], [0.784, 0.216, 0.500], [0.785, 0.215, 0.000], [0.788, 0.720, 0.751]]}

---

Entry 8:
{"formula": "Cs2ZrI4Br2", "functional": "PBE", "state": "optimized geometry", "e_form_raw_ev_per_fu": -12.26, "rho_g_cm3": 4.20, "dft_energy_ev_per_atom": -3.563, "cell": [[6.992, -4.155, 0.000], [6.992, 4.155, 0.000], [-0.737, 0.000, 6.979]], "species": ["Cs", "Cs", "Zr", "I", "I", "I", "I", "Br", "Br"], "fractional_positions": [[0.165, 0.165, 0.269], [0.835, 0.835, 0.731], [0.500, 0.500, 0.000], [0.163, 0.657, 0.212], [0.343, 0.837, 0.788], [0.657, 0.163, 0.212], [0.837, 0.343, 0.788], [0.350, 0.350, 0.740], [0.650, 0.650, 0.260]]}